Compound: Mn2P2O7
Source: Alexandria via LeMat-Bulk
Functional: PBE+U
Structure: relaxed

Properties
As for the raw total energy: -7.6372 eV per atom. As for the total magnetization: 10.0 μB per formula unit.

The structure in CIF format:
```
data_Mn2P2O7
_chemical_formula_sum 'Mn4 P4 O14'
_space_group_name_H-M_alt 'P 1 21/c 1'
_space_group_IT_number 14
_cell_length_a 4.599
_cell_length_b 10.444
_cell_length_c 5.473
_cell_angle_alpha 90.00
_cell_angle_beta 97.19
_cell_angle_gamma 90.00
loop_
_space_group_symop_operation_xyz
'x,y,z'
'-x,-y,-z'
'-x,y+1/2,-z+1/2'
'x,-y+1/2,z+1/2'
loop_
_atom_site_label
_atom_site_type_symbol
_atom_site_fract_x
_atom_site_fract_y
_atom_site_fract_z
Mn1 Mn 0.100 0.154 0.410
P1 P 0.359 0.610 0.650
O1 O 0.133 0.678 0.465
O2 O 0.212 0.543 0.854
O3 O 0.386 0.196 0.746
O4 O 0.500 0.000 0.000
```